Entry 1:
Computed, not measured: an optimized crystal structure of Cu2AsC at the PBE level of DFT.

Its formation energy is 0.840 eV/atom.

Cell: 4.267 4.267 6.854 Å, 71.86 71.86 90.00°
Fractional coordinates of all 8 atoms:
As1 0.000 0.000 0.000
As2 0.750 0.250 0.500
C1 0.500 0.500 0.000
C2 0.250 0.750 0.500
Cu1 0.506 0.125 0.250
Cu2 0.244 0.625 0.250
Cu3 0.375 0.494 0.750
Cu4 0.875 0.756 0.750


Entry 2:
Computed, not measured: an optimized crystal structure of LiMg2Al2 at the PBE level of DFT.

Its formation energy is 0.153 eV/atom.

Cell: 4.196 4.196 7.083 Å, 72.77 72.77 90.00°
Fractional coordinates of all 5 atoms:
Mg1 0.750 0.250 0.500
Mg2 0.250 0.750 0.500
Al1 0.402 0.402 0.196
Al2 0.598 0.598 0.804
Li1 0.000 0.000 0.000


Entry 3:
Computed, not measured: an optimized crystal structure of As2PdSeBr at the PBE level of DFT.

For the total energy, the calculation gives -16.93 eV for the cell shown.

Cell: 4.947 4.947 4.962 Å, 90.00 90.00 90.00°
Fractional coordinates of all 5 atoms:
As1 0.000 0.500 0.000
As2 0.500 0.000 0.000
Se1 0.500 0.500 0.500
Br1 0.000 0.000 0.500
Pd1 0.000 0.000 0.000


Entry 4:
Computed, not measured: an optimized crystal structure of La4HgTeN at the PBE level of DFT.

For the total energy, the calculation gives -76.35 eV for the cell shown.

Cell: 7.082 7.114 8.883 Å, 90.00 113.49 90.00°
Fractional coordinates of all 14 atoms:
La1 0.916 0.250 0.832
La2 0.409 0.750 0.818
La3 0.084 0.750 0.168
La4 0.591 0.250 0.182
La5 0.500 0.500 0.500
La6 0.000 0.000 0.500
La7 0.500 0.000 0.500
La8 0.000 0.500 0.500
Hg1 0.114 0.250 0.228
Hg2 0.886 0.750 0.772
Te1 0.610 0.750 0.220
Te2 0.390 0.250 0.780
N1 0.239 0.750 0.478
N2 0.761 0.250 0.522


Entry 5:
Computed, not measured: an optimized crystal structure of Cs3K11 at the PBE level of DFT.

Its formation energy is 0.021 eV/atom.

Cell: 7.312 13.116 13.116 Å, 81.53 73.81 73.81°
Fractional coordinates of all 14 atoms:
Cs1 0.000 0.000 0.000
Cs2 0.283 0.717 0.717
Cs3 0.717 0.283 0.283
K1 0.630 0.741 0.999
K2 0.855 0.422 0.867
K3 0.630 0.999 0.741
K4 0.500 0.348 0.652
K5 0.145 0.133 0.578
K6 0.000 0.500 0.500
K7 0.855 0.867 0.422
K8 0.500 0.652 0.348
K9 0.370 0.001 0.259
K10 0.145 0.578 0.133
K11 0.370 0.259 0.001


Entry 6:
Computed, not measured: an optimized crystal structure of ZnFeRu2 at the PBE level of DFT.

Its formation energy is 0.109 eV/atom.

Cell: 4.938 4.938 4.938 Å, 144.15 130.16 62.90°
Each line ends with the local moment (μB).
Fractional coordinates of all 4 atoms:
Fe1 0.748 0.248 0.500  2.46
Ru1 0.992 0.992 0.000  -0.12
Ru2 0.252 0.752 0.500  0.13
Zn1 0.508 0.508 0.000  -0.03


Entry 7:
Computed, not measured: an optimized crystal structure of AcLaPbSe at the PBE level of DFT.

For the total energy, the calculation gives -21.06 eV for the cell shown.

Cell: 4.644 4.645 6.464 Å, 90.00 90.00 90.00°
Fractional coordinates of all 4 atoms:
Ac1 0.500 0.392 0.593
La1 0.000 0.891 0.092
Pb1 0.000 0.892 0.592
Se1 0.500 0.392 0.093


Entry 8:
Computed, not measured: an optimized crystal structure of Na3Pm3RhO8 at the PBE level of DFT.

For the total energy, the calculation gives -98.77 eV for the cell shown.

Cell: 6.898 6.898 6.841 Å, 120.28 90.00 120.00°
Each line ends with the local moment (μB).
Fractional coordinates of all 15 atoms:
Na1 0.000 0.000 0.000  0.00
Na2 0.000 0.500 0.000  0.00
Na3 0.500 0.500 0.000  0.00
Pm1 0.500 0.000 0.500  0.00
Pm2 0.500 0.500 0.500  0.00
Pm3 0.000 0.500 0.500  0.00
Rh1 0.000 0.000 0.500  0.62
O1 0.261 0.522 0.283  0.01
O2 0.739 0.478 0.717  0.01
O3 0.784 0.568 0.298  0.06
O4 0.216 0.432 0.702  0.06
O5 0.784 0.014 0.298  0.06
O6 0.216 0.986 0.702  0.06
O7 0.230 0.014 0.298  0.06
O8 0.770 0.986 0.702  0.06


no.,Fermi-level density of states (states/eV per cell)
1,2.61
2,1.87
3,5.13
4,12.12
5,10.64
6,3.67
7,1.10
8,7.42